## LaPaAs (GGA-PBE)

Data for a relaxed structure of LaPaAs.

Lattice parameters (Å, degrees): 3.7152 7.5963 7.5963 100.44 90.00 90.00
Last column: nearest neighbours and their distance in Å.
Fractional positions:
As  0.0000  0.7182  0.7182  3 Pa 2.74-2.82
Pa  0.0000  0.0000  0.0000  2 As 2.74
La  0.5000  0.7689  0.2311  3 Pa 3.14-3.28
As  0.0000  0.2818  0.2818  3 Pa 2.74-2.82
La  0.5000  0.2311  0.7689  3 Pa 3.14-3.28
Pa  0.5000  0.5000  0.5000  4 As 2.82, 2 La 3.14

Results
energy of formation from the pure elements: 320 meV/atom
energy relative to the lowest polymorph listed for this composition: 66.4 kJ per mole of atoms
uncorrected energy: -36.2 eV/cell



## TbNdGeS (GGA-PBE)

Data for a relaxed structure of TbNdGeS.

Lattice parameters (Å, degrees): 4.1272 4.1272 7.1859 73.31 73.31 60.00
Last column: nearest neighbours and their distance in Å.
Fractional positions:
S  0.4472  0.4472  0.6584  3 Tb 2.88, 3 Nd 2.96
Nd  0.6942  0.6942  0.9173  3 Ge 2.96, 3 S 2.96
Ge  0.9415  0.9415  0.1756  3 Tb 2.90, 3 Nd 2.96
Tb  0.1935  0.1935  0.4194  3 S 2.88, 3 Ge 2.90

Results
raw formation energy: -1.448 eV/atom
uncorrected energy: -23.9 eV/cell



## Sc2CoTc3 (GGA-PBE)

Data for a relaxed structure of Sc2CoTc3.

Lattice parameters (Å, degrees): 5.1167 5.1167 5.2259 89.96 119.34 120.02
Last column: nearest neighbours and their distance in Å.
Fractional positions:
Tc  0.5000  0.5000  0.5000  4 Tc 2.56, 2 Co 2.61
Sc  0.7501  0.3749  0.1250  3 Co 3.00, 9 Tc 3.02-3.07, 4 Sc 3.14-3.23
Tc  0.5000  0.0000  0.5000  4 Tc 2.56, 2 Co 2.61
Sc  0.2499  0.6251  0.8750  3 Co 3.00, 9 Tc 3.02-3.07, 4 Sc 3.14-3.23
Tc  0.0000  0.0000  0.5000  4 Tc 2.56, 2 Co 2.61
Co  0.0000  0.0000  0.0000  6 Tc 2.61

Results
energy of formation from the pure elements: -282 meV/atom
uncorrected energy: -52.6 eV/cell



## Tl2CuP (GGA-PBE)

Data for a relaxed structure of Tl2CuP.

Lattice parameters (Å, degrees): 4.1503 5.0636 5.4794 57.18 90.00 90.00
Last column: nearest neighbours and their distance in Å.
Fractional positions:
Cu  0.0000  0.7289  0.5729  2 P 2.24
Tl  0.0000  0.9740  0.9503  3 Cu 2.93-3.21, 2 P 3.14
P  0.5000  0.5284  0.6735  2 Cu 2.24
Tl  0.5000  0.2686  0.3034  3 P 2.95-3.15, 2 Cu 3.10

Results
energy of formation from the pure elements: 100 meV/atom
energy relative to the lowest polymorph listed for this composition: 13.2 kJ per mole of atoms
uncorrected energy: -13.8 eV/cell



## Ho2HgPb3 (GGA-PBE)

Data for a relaxed structure of Ho2HgPb3.

Lattice parameters (Å, degrees): 4.9470 9.3255 9.3255 121.82 90.00 90.00
Last column: nearest neighbours and their distance in Å.
Fractional positions:
Hg  0.9931  0.5757  0.5757  2 Hg 2.83, 1 Pb 2.96
Ho  0.4930  0.8420  0.6247  6 Pb 3.19-3.56, 3 Hg 3.31-3.36, 1 Ho 3.54
Ho  0.9930  0.3753  0.1580  6 Pb 3.19-3.56, 3 Hg 3.31-3.36, 1 Ho 3.54
Ho  0.9930  0.1580  0.3753  6 Pb 3.19-3.56, 3 Hg 3.31-3.36, 1 Ho 3.54
Hg  0.4931  0.4243  0.4243  2 Hg 2.83, 1 Pb 2.96
Pb  0.9929  0.8241  0.3905  2 Pb 3.15, 3 Ho 3.19-3.25
Ho  0.4930  0.6247  0.8420  6 Pb 3.19-3.56, 3 Hg 3.31-3.36, 1 Ho 3.54
Pb  0.9929  0.3905  0.8241  2 Pb 3.15, 3 Ho 3.19-3.25
Pb  0.4930  0.0977  0.0977  1 Hg 2.96, 2 Pb 3.04
Pb  0.4929  0.1759  0.6095  2 Pb 3.15, 3 Ho 3.19-3.25
Pb  0.4929  0.6095  0.1759  2 Pb 3.15, 3 Ho 3.19-3.25
Pb  0.9930  0.9023  0.9023  1 Hg 2.96, 2 Pb 3.04

Results
energy of formation from the pure elements: -132 meV/atom
energy relative to the lowest polymorph listed for this composition: 24.0 kJ per mole of atoms
uncorrected energy: -42.7 eV/cell



## Li2Ac3Au9 (GGA-PBE)

Data for a relaxed structure of Li2Ac3Au9.

Lattice parameters (Å, degrees): 4.6233 10.1098 8.8761 124.72 105.10 90.00
Last column: nearest neighbours and their distance in Å.
Fractional positions:
Au  0.0000  0.5000  0.0000  4 Au 2.76, 4 Li 3.06
Au  0.8741  0.5859  0.7481  3 Au 2.76-2.79, 2 Li 2.90
Au  0.3438  0.9829  0.6875  1 Li 2.71, 3 Au 2.79-2.81
Au  0.1259  0.8378  0.2519  3 Au 2.76-2.79, 2 Li 2.90
Au  0.6562  0.0171  0.3125  1 Li 2.71, 3 Au 2.79-2.81
Ac  0.0000  0.0000  0.0000  12 Au 3.39-3.46
Ac  0.7053  0.7053  0.4107  12 Au 3.32-3.71, 2 Li 3.48
Au  0.6562  0.2954  0.3125  1 Li 2.71, 3 Au 2.79-2.81
Li  0.5000  0.6985  0.0000  6 Au 2.71-2.90
Au  0.1259  0.4141  0.2519  3 Au 2.76-2.79, 2 Li 2.90
Au  0.3438  0.7046  0.6875  1 Li 2.71, 3 Au 2.79-2.81
Au  0.8741  0.1622  0.7481  3 Au 2.76-2.79, 2 Li 2.90
Ac  0.2947  0.2947  0.5893  12 Au 3.32-3.71, 2 Li 3.48
Li  0.5000  0.3015  0.0000  6 Au 2.71-2.90

Results
energy of formation from the pure elements: -686 meV/atom
uncorrected energy: -55.2 eV/cell